Entry from Alexandria via LeMat-Bulk: Ga8Cu3Au2 after structural relaxation (GGA-PBE).

The structure in extended XYZ format:
```
13
Lattice="7.752 0.000 0.000 0.000 4.123 0.000 -3.382 0.000 7.108" Properties=species:S:1:pos:R:3 pbc="T T T"
Ga -0.530 0.000 2.847
Ga -1.952 2.062 6.271
Ga 2.367 0.000 0.962
Ga 0.744 2.062 4.526
Ga 3.626 2.062 2.582
Ga 2.002 0.000 6.146
Ga 6.322 2.062 0.838
Ga 4.900 0.000 4.261
Cu -0.532 0.000 5.505
Cu 3.876 2.062 0.000
Cu 4.902 0.000 1.603
Au 0.938 2.062 1.919
Au 3.431 2.062 5.189
```

Computed properties:
Fermi-level density of states	3.8	states/eV/f.u.
volume	17.48	Å³/atom
formation energy	-0.108	eV per atom

=====

Entry from Alexandria via LeMat-Bulk: MnSb2ICl after structural relaxation (GGA-PBE).

The structure in extended XYZ format:
```
5
Lattice="5.106 0.000 0.000 0.000 5.106 0.000 0.000 0.000 5.311" Properties=species:S:1:pos:R:3 pbc="T T T"
Mn 0.000 0.000 0.000
Sb 0.000 2.553 0.000
Sb 2.553 0.000 0.000
I 0.000 0.000 2.656
Cl 2.553 2.553 2.656
```

Computed properties:
energy relative to the elements, uncorrected	0.190	eV/atom
Fermi-level density of states	4.0	states/eV/f.u.
volume	27.69	Å³/atom

=====

Entry from Alexandria via LeMat-Bulk: LaPrNdHo3 after structural relaxation (GGA-PBE).

The structure in extended XYZ format:
```
12
Lattice="10.063 -2.832 0.000 10.063 2.832 0.000 -0.017 0.000 7.126" Properties=species:S:1:pos:R:3 pbc="T T T"
La 2.955 0.000 0.293
La 17.153 0.000 6.833
Pr 2.973 0.000 3.313
Pr 17.135 0.000 3.813
Nd 8.951 0.000 5.309
Nd 11.157 0.000 1.816
Ho 0.464 0.000 5.328
Ho 5.593 0.000 5.360
Ho 6.767 0.000 1.808
Ho 13.341 0.000 5.318
Ho 14.515 0.000 1.766
Ho 19.644 0.000 1.798
```

Computed properties:
Fermi-level density of states	8.4	states/eV/f.u.
volume	33.84	Å³/atom
formation energy	0.181	eV per atom